1.
Below is ReNiSn3 after structural relaxation, with properties calculated at the PBE level.

Cell and atoms, written as CIF:
```
data_ReNiSn3
_cell_length_a 4.874
_cell_length_b 4.874
_cell_length_c 4.874
_cell_angle_alpha 90.00
_cell_angle_beta 90.00
_cell_angle_gamma 90.00
_space_group_name_H-M_alt 'P m -3 m'
_space_group_IT_number 221
_space_group_name_Hall '-P 4 2 3'
loop_
_atom_site_label
_atom_site_type_symbol
_atom_site_fract_x
_atom_site_fract_y
_atom_site_fract_z
_atom_site_occupancy
Re1 Re 0.000 0.000 0.000 1
Ni1 Ni 0.500 0.500 0.500 1
Sn1 Sn 0.000 0.500 0.500 1
```

## Properties
Calculated formation energy: 0.9887 eV/atom
Distance to the lowest polymorph of the same formula: 0.90 eV/f.u.
Crystal system: cubic

***

2.
Below is TmRhF after structural relaxation, with properties calculated at the PBE level.

Cell and atoms, written as CIF:
```
data_TmRhF
_cell_length_a 5.044
_cell_length_b 4.517
_cell_length_c 8.563
_cell_angle_alpha 90.00
_cell_angle_beta 101.49
_cell_angle_gamma 90.00
_space_group_name_H-M_alt 'C 1 2/m 1'
_space_group_IT_number 12
loop_
_space_group_symop_operation_xyz
'x,y,z'
'-x,-y,-z'
'-x,y,-z'
'x,-y,z'
'x+1/2,y+1/2,z'
'-x+1/2,-y+1/2,-z'
'-x+1/2,y+1/2,-z'
'x+1/2,-y+1/2,z'
loop_
_atom_site_label
_atom_site_type_symbol
_atom_site_fract_x
_atom_site_fract_y
_atom_site_fract_z
_atom_site_occupancy
Tm1 Tm 0.204 0.000 0.214 1
Rh1 Rh 0.217 0.500 0.409 1
F1 F 0.213 0.000 0.939 1
```

## Properties
E_tot: -6.45 eV per atom
Crystal system: monoclinic

***

3.
Below is Tl5Sn after structural relaxation, with properties calculated at the PBE level.

Cell and atoms, written as CIF:
```
data_Tl5Sn
_cell_length_a 5.614
_cell_length_b 17.449
_cell_length_c 3.736
_cell_angle_alpha 90.00
_cell_angle_beta 90.00
_cell_angle_gamma 90.00
_space_group_name_H-M_alt 'C m m m'
_space_group_IT_number 65
_space_group_name_Hall '-C 2 2'
loop_
_atom_site_label
_atom_site_type_symbol
_atom_site_fract_x
_atom_site_fract_y
_atom_site_fract_z
_atom_site_occupancy
Tl1 Tl 0.000 0.000 0.000 1
Tl2 Tl 0.000 0.170 0.500 1
Tl3 Tl 0.000 0.339 0.000 1
Sn1 Sn 0.000 0.500 0.500 1
```

## Properties
Calculated formation energy: 0.0259 eV/atom
Distance to the lowest polymorph of the same formula: 0.06 eV/f.u.
Crystal system: orthorhombic

***

4.
Below is ScReC3 after structural relaxation, with properties calculated at the PBE level.

Cell and atoms, written as CIF:
```
data_ScReC3
_cell_length_a 3.988
_cell_length_b 3.988
_cell_length_c 3.988
_cell_angle_alpha 90.00
_cell_angle_beta 90.00
_cell_angle_gamma 90.00
_space_group_name_H-M_alt 'P m -3 m'
_space_group_IT_number 221
_space_group_name_Hall '-P 4 2 3'
loop_
_atom_site_label
_atom_site_type_symbol
_atom_site_fract_x
_atom_site_fract_y
_atom_site_fract_z
_atom_site_occupancy
Sc1 Sc 0.000 0.000 0.000 1
Re1 Re 0.500 0.500 0.500 1
C1 C 0.000 0.500 0.500 1
```

## Properties
Calculated formation energy: 0.9863 eV/atom
Distance to the lowest polymorph of the same formula: 0.00 eV/f.u.
Crystal system: cubic

***

5.
Below is Nd7TeSe5 after structural relaxation, with properties calculated at the PBE level.

Cell and atoms, written as CIF:
```
data_Nd7TeSe5
_cell_length_a 13.970
_cell_length_b 4.182
_cell_length_c 25.158
_cell_angle_alpha 90.00
_cell_angle_beta 90.02
_cell_angle_gamma 90.00
_space_group_name_H-M_alt 'C 1 2/m 1'
_space_group_IT_number 12
loop_
_space_group_symop_operation_xyz
'x,y,z'
'-x,-y,-z'
'-x,y,-z'
'x,-y,z'
'x+1/2,y+1/2,z'
'-x+1/2,-y+1/2,-z'
'-x+1/2,y+1/2,-z'
'x+1/2,-y+1/2,z'
loop_
_atom_site_label
_atom_site_type_symbol
_atom_site_fract_x
_atom_site_fract_y
_atom_site_fract_z
_atom_site_occupancy
Nd1 Nd 0.018 0.000 0.250 1
Nd2 Nd 0.091 0.500 0.116 1
Nd3 Nd 0.091 0.500 0.384 1
Nd4 Nd 0.139 0.000 0.537 1
Nd5 Nd 0.139 0.000 0.963 1
Nd6 Nd 0.190 0.500 0.677 1
Nd7 Nd 0.190 0.500 0.823 1
Te1 Te 0.187 0.500 0.250 1
Se1 Se 0.000 0.500 0.000 1
Se2 Se 0.000 0.500 0.500 1
Se3 Se 0.052 0.000 0.642 1
Se4 Se 0.052 0.000 0.858 1
Se5 Se 0.222 0.000 0.071 1
Se6 Se 0.222 0.000 0.429 1
```

## Properties
E_tot: -5.77 eV per atom
Crystal system: monoclinic

***

6.
Below is CsLiSbTe2 after structural relaxation, with properties calculated at the PBE level.

Cell and atoms, written as CIF:
```
data_CsLiSbTe2
_cell_length_a 6.635
_cell_length_b 6.635
_cell_length_c 6.402
_cell_angle_alpha 90.00
_cell_angle_beta 90.00
_cell_angle_gamma 90.00
_space_group_name_H-M_alt 'P 4/m m m'
_space_group_IT_number 123
_space_group_name_Hall '-P 4 2'
loop_
_atom_site_label
_atom_site_type_symbol
_atom_site_fract_x
_atom_site_fract_y
_atom_site_fract_z
_atom_site_occupancy
Cs1 Cs 0.000 0.000 0.000 1
Li1 Li 0.500 0.500 0.500 1
Sb1 Sb 0.000 0.000 0.500 1
Te1 Te 0.000 0.500 0.000 1
```

## Properties
Distance to the lowest polymorph of the same formula: 6.57 eV/f.u.
Crystal system: tetragonal